Entry from Alexandria via LeMat-Bulk: an optimized crystal structure of WSNCl2 (PBE-GGA).

a = 4.008 Å, b = 4.008 Å, c = 4.571 Å
α = 90.00°, β = 90.00°, γ = 90.00°
Fractional positions:
W 0.000 0.000 0.000
S 0.500 0.500 0.000
N 0.500 0.500 0.500
Cl 0.000 0.500 0.500
Cl 0.500 0.000 0.500

Calculated values
Uncorrected formation energy (eV per atom): 1.77
Fermi-level density of states (states/eV per atom): 0.92
Electronic total energy (eV/atom): -4.045
Magnetic moment (μB per cell): 0.00

Entry from Alexandria via LeMat-Bulk: an optimized crystal structure of CeCdRh2 (PBE-GGA).

a = 4.474 Å, b = 4.474 Å, c = 3.689 Å
α = 90.00°, β = 90.00°, γ = 90.00°
Fractional positions:
Ce 0.000 0.000 0.000
Cd 0.500 0.500 0.000
Rh 0.000 0.500 0.500
Rh 0.500 0.000 0.500

Calculated values
Fermi-level density of states (states/eV per atom): 0.73
Electronic total energy (eV/atom): -6.002
Magnetic moment (μB per cell): 0.25
E_form (eV per atom): -0.614